1.
A PBEsol-optimized structure of Co3BPO7, computed with meta-GGA SCAN.

Lattice parameters (Å, degrees): 4.8717 7.8546 7.8546 103.53 108.26 108.26
Fractional coordinates of all 24 atoms:
O  0.6154  0.9049  0.3346
Co  0.5090  0.3013  0.5105
O  0.1783  0.5217  0.0776
B  0.8703  0.4852  0.0583
O  0.4532  0.2357  0.2357
O  0.6154  0.3346  0.9049
O  0.0173  0.9006  0.1039
Co  0.5090  0.5105  0.3013
Co  0.2043  0.8608  0.3505
O  0.1783  0.0776  0.5217
P  0.2303  0.0512  0.0512
P  0.2058  0.5989  0.5989
O  0.2236  0.4436  0.4436
O  0.4297  0.9685  0.9685
O  0.3727  0.7987  0.5919
Co  0.5708  0.7683  0.0740
O  0.8225  0.1939  0.6076
O  0.8532  0.5577  0.5577
O  0.8225  0.6076  0.1939
Co  0.5708  0.0740  0.7683
O  0.0173  0.1039  0.9006
B  0.8703  0.0583  0.4852
O  0.3727  0.5919  0.7987
Co  0.2043  0.3505  0.8608

## Properties
Its uncorrected formation energy is -1.8771 eV/atom. The calculation puts the calculated volume at 126.00 Å³/f.u. Its final energy is -271.77 eV/cell. As for the magnetic moment: 18.0 Bohr magnetons per cell.

***

2.
A PBEsol-optimized structure of YCoB5O10, computed with meta-GGA SCAN.

Lattice parameters (Å, degrees): 7.5551 8.5314 9.3457 85.95 90.00 90.00
Fractional coordinates of all 68 atoms:
O  0.2029  0.5389  0.2724
B  0.0318  0.2224  0.0565
Co  0.4023  0.3981  0.1304
O  0.8516  0.6815  0.8608
B  0.5318  0.2776  0.4435
O  0.8730  0.3176  0.0091
O  0.9040  0.4882  0.1993
B  0.5719  0.0834  0.2535
O  0.2317  0.4535  0.5227
O  0.9719  0.0826  0.1507
O  0.6484  0.1815  0.3608
O  0.3912  0.6774  0.4197
O  0.9682  0.6859  0.6217
Co  0.9023  0.1019  0.3696
O  0.2683  0.9535  0.0227
Y  0.6818  0.6813  0.2589
O  0.1088  0.1774  0.9197
O  0.5318  0.1859  0.1217
O  0.7971  0.4611  0.7276
O  0.4442  0.7569  0.1324
B  0.6021  0.1612  0.9901
Y  0.3182  0.3187  0.7411
Co  0.5977  0.6019  0.8696
O  0.0281  0.9174  0.8493
O  0.3526  0.4923  0.9315
B  0.9682  0.7776  0.9435
Y  0.1818  0.8187  0.2411
O  0.4682  0.8141  0.8783
B  0.6910  0.9338  0.5875
B  0.9281  0.5834  0.7535
B  0.8246  0.9804  0.1041
B  0.4682  0.7224  0.5565
B  0.0719  0.4166  0.2465
B  0.3979  0.8388  0.0099
O  0.1484  0.3185  0.1392
Y  0.8182  0.1813  0.7589
O  0.0960  0.5118  0.8007
B  0.8090  0.4338  0.0875
B  0.1754  0.0196  0.8959
B  0.1021  0.3388  0.5099
O  0.7029  0.9611  0.2276
B  0.4281  0.9166  0.7465
O  0.9442  0.7431  0.3676
B  0.3246  0.5196  0.3959
O  0.8912  0.8226  0.0803
O  0.0558  0.2569  0.6324
O  0.0318  0.3141  0.3783
B  0.8979  0.6612  0.4901
Co  0.0977  0.8981  0.6304
O  0.4719  0.4174  0.3493
O  0.1474  0.9923  0.4315
O  0.4040  0.0118  0.3007
O  0.7683  0.5465  0.4773
O  0.6270  0.8176  0.5091
B  0.3090  0.0662  0.4125
B  0.1910  0.5662  0.9125
O  0.8526  0.0077  0.5685
O  0.3730  0.1824  0.4909
O  0.5281  0.5826  0.6507
O  0.6474  0.5077  0.0685
O  0.5960  0.9882  0.6993
O  0.1270  0.6824  0.9909
O  0.7317  0.0465  0.9773
B  0.6754  0.4804  0.6041
O  0.6088  0.3226  0.5803
O  0.2971  0.0389  0.7724
O  0.3516  0.8185  0.6392
O  0.5558  0.2431  0.8676

## Properties
Its uncorrected formation energy is -2.7121 eV/atom. The calculation puts the calculated volume at 150.22 Å³/f.u. Its final energy is -762.85 eV/cell. As for the magnetic moment: 12.0 Bohr magnetons per cell.

***

3.
A PBEsol-optimized structure of SrCoBOs2, computed with meta-GGA SCAN.

Lattice parameters (Å, degrees): 4.4412 4.8460 4.8460 90.00 90.00 90.00
Fractional coordinates of all 5 atoms:
Co  0.5000  0.0000  0.0000
Sr  0.0000  0.0000  0.0000
Os  0.0000  0.0000  0.5000
B  0.5000  0.5000  0.5000
Os  0.0000  0.5000  0.0000

## Properties
The calculation puts the formation energy at 20.9 eV/f.u. The calculation puts the calculated volume at 104.29 Å³/f.u. Its final energy is -169.89 eV/cell. As for the magnetic moment: 4.0 Bohr magnetons per cell.